First-principles (PBE) data for crystalline P2PdAuCl at its relaxed geometry, as listed in the Alexandria database.

Properties
Distance to the lowest polymorph of the same formula in kcal/mol of atoms: 0.00
ΔE_f (raw) in eV/atom: 0.706
Space group: P4/mmm (123)
Mass density in g/cm3: 6.2
Total energy in eV per atom: -3.521

Cell: 4.676 4.676 4.872 Å, 90.00 90.00 90.00°
Fractional positions:
P: 0.000 0.500 0.000
P: 0.500 0.000 0.000
Pd: 0.000 0.000 0.000
Au: 0.500 0.500 0.500
Cl: 0.000 0.000 0.500